# TiPdCl2 SCAN single point on PBEsol structure
data_TiPdCl2
_chemical_formula_sum 'Ti2 Pd2 Cl4'
_symmetry_space_group_name_H-M 'P 1'
_symmetry_Int_Tables_number 1
_cell_length_a 4.366
_cell_length_b 4.366
_cell_length_c 8.221
_cell_angle_alpha 105.40
_cell_angle_beta 105.40
_cell_angle_gamma 90.00
loop_
_symmetry_equiv_pos_as_xyz
'x,y,z'
loop_
_atom_site_label
_atom_site_type_symbol
_atom_site_fract_x
_atom_site_fract_y
_atom_site_fract_z
Pd1 Pd 0.250 0.750 0.500
Pd2 Pd 0.000 0.000 0.000
Cl1 Cl 0.389 0.875 0.250
Cl2 Cl 0.125 0.139 0.750
Cl3 Cl 0.861 0.375 0.250
Cl4 Cl 0.625 0.611 0.750
Ti1 Ti 0.750 0.250 0.500
Ti2 Ti 0.500 0.500 0.000
# Total DFT energy (no corrections) = -67.045 eV per formula unit

---

# Li5Ni3Sn2O10 SCAN single point on PBEsol structure
data_Li5Ni3Sn2O10
_chemical_formula_sum 'Li5 Ni3 Sn2 O10'
_symmetry_space_group_name_H-M 'P 1'
_symmetry_Int_Tables_number 1
_cell_length_a 5.124
_cell_length_b 5.145
_cell_length_c 7.879
_cell_angle_alpha 108.13
_cell_angle_beta 101.30
_cell_angle_gamma 100.82
loop_
_symmetry_equiv_pos_as_xyz
'x,y,z'
loop_
_atom_site_label
_atom_site_type_symbol
_atom_site_fract_x
_atom_site_fract_y
_atom_site_fract_z
Sn1 Sn 0.106 0.708 0.700
Sn2 Sn 0.894 0.292 0.300
O1 O 0.777 0.519 0.779
O2 O 0.950 0.906 0.141
O3 O 0.460 0.899 0.663
O4 O 0.331 0.703 0.951
O5 O 0.142 0.309 0.546
O6 O 0.669 0.297 0.049
O7 O 0.223 0.481 0.221
O8 O 0.540 0.101 0.337
O9 O 0.050 0.094 0.859
O10 O 0.858 0.691 0.454
Ni1 Ni 0.299 0.103 0.099
Ni2 Ni 0.701 0.897 0.901
Ni3 Ni 0.000 0.500 0.000
Li1 Li 0.425 0.298 0.801
Li2 Li 0.226 0.918 0.404
Li3 Li 0.774 0.082 0.596
Li4 Li 0.500 0.500 0.500
Li5 Li 0.575 0.702 0.199
# Total DFT energy (no corrections) = -230.711 eV per formula unit

---

# KZrOsC2 SCAN single point on PBEsol structure
data_KZrOsC2
_chemical_formula_sum 'K1 Zr1 Os1 C2'
_symmetry_space_group_name_H-M 'P 1'
_symmetry_Int_Tables_number 1
_cell_length_a 4.005
_cell_length_b 4.005
_cell_length_c 5.340
_cell_angle_alpha 90.00
_cell_angle_beta 90.00
_cell_angle_gamma 90.00
loop_
_symmetry_equiv_pos_as_xyz
'x,y,z'
loop_
_atom_site_label
_atom_site_type_symbol
_atom_site_fract_x
_atom_site_fract_y
_atom_site_fract_z
C1 C 0.000 0.500 0.000
C2 C 0.500 0.000 0.000
Os1 Os 0.000 0.000 0.000
K1 K 0.000 0.000 0.500
Zr1 Zr 0.500 0.500 0.500
# ΔE_f = 2090 meV/atom

---

# HgC2F SCAN single point on PBEsol structure
data_HgC2F
_chemical_formula_sum 'Hg2 C4 F2'
_symmetry_space_group_name_H-M 'P 1'
_symmetry_Int_Tables_number 1
_cell_length_a 3.010
_cell_length_b 3.010
_cell_length_c 12.103
_cell_angle_alpha 97.14
_cell_angle_beta 97.14
_cell_angle_gamma 90.00
loop_
_symmetry_equiv_pos_as_xyz
'x,y,z'
loop_
_atom_site_label
_atom_site_type_symbol
_atom_site_fract_x
_atom_site_fract_y
_atom_site_fract_z
C1 C 0.625 0.375 0.250
C2 C 0.625 0.875 0.250
C3 C 0.625 0.375 0.750
C4 C 0.125 0.375 0.750
Hg1 Hg 0.250 0.750 0.500
Hg2 Hg 0.000 0.000 0.000
F1 F 0.500 0.500 0.000
F2 F 0.750 0.250 0.500
# Total DFT energy (no corrections) = -86.900 eV per formula unit

---

# Ca2CuTcP SCAN single point on PBEsol structure
data_Ca2CuTcP
_chemical_formula_sum 'Ca2 Cu1 Tc1 P1'
_symmetry_space_group_name_H-M 'P 1'
_symmetry_Int_Tables_number 1
_cell_length_a 4.562
_cell_length_b 5.108
_cell_length_c 5.108
_cell_angle_alpha 90.00
_cell_angle_beta 90.00
_cell_angle_gamma 90.00
loop_
_symmetry_equiv_pos_as_xyz
'x,y,z'
loop_
_atom_site_label
_atom_site_type_symbol
_atom_site_fract_x
_atom_site_fract_y
_atom_site_fract_z
Ca1 Ca 0.000 0.500 0.000
Ca2 Ca 0.000 0.000 0.500
Cu1 Cu 0.000 0.000 0.000
Tc1 Tc 0.500 0.000 0.000
P1 P 0.500 0.500 0.500
# ΔE_f = 450 meV/atom

---

# Li2FeRu SCAN single point on PBEsol structure
data_Li2FeRu
_chemical_formula_sum 'Li2 Fe1 Ru1'
_symmetry_space_group_name_H-M 'P 1'
_symmetry_Int_Tables_number 1
_cell_length_a 2.731
_cell_length_b 2.731
_cell_length_c 7.278
_cell_angle_alpha 90.00
_cell_angle_beta 90.00
_cell_angle_gamma 90.00
loop_
_symmetry_equiv_pos_as_xyz
'x,y,z'
loop_
_atom_site_label
_atom_site_type_symbol
_atom_site_fract_x
_atom_site_fract_y
_atom_site_fract_z
Li1 Li 0.500 0.500 0.273
Li2 Li 0.000 0.000 0.968
Ru1 Ru 0.000 0.000 0.534
Fe1 Fe 0.500 0.500 0.726
# ΔE_f = 225 meV/atom

---

# NaBeOs2Br SCAN single point on PBEsol structure
data_NaBeOs2Br
_chemical_formula_sum 'Na1 Be1 Os2 Br1'
_symmetry_space_group_name_H-M 'P 1'
_symmetry_Int_Tables_number 1
_cell_length_a 4.539
_cell_length_b 4.539
_cell_length_c 4.758
_cell_angle_alpha 90.00
_cell_angle_beta 90.00
_cell_angle_gamma 90.00
loop_
_symmetry_equiv_pos_as_xyz
'x,y,z'
loop_
_atom_site_label
_atom_site_type_symbol
_atom_site_fract_x
_atom_site_fract_y
_atom_site_fract_z
Os1 Os 0.500 0.000 0.000
Os2 Os 0.000 0.500 0.000
Be1 Be 0.500 0.500 0.500
Br1 Br 0.000 0.000 0.000
Na1 Na 0.000 0.000 0.500
# Total DFT energy (no corrections) = -161.240 eV per formula unit

---

# Tm3Co4Ge13 SCAN single point on PBEsol structure
data_Tm3Co4Ge13
_chemical_formula_sum 'Tm6 Co8 Ge26'
_symmetry_space_group_name_H-M 'P 1'
_symmetry_Int_Tables_number 1
_cell_length_a 8.614
_cell_length_b 8.614
_cell_length_c 8.614
_cell_angle_alpha 90.00
_cell_angle_beta 90.00
_cell_angle_gamma 90.00
loop_
_symmetry_equiv_pos_as_xyz
'x,y,z'
loop_
_atom_site_label
_atom_site_type_symbol
_atom_site_fract_x
_atom_site_fract_y
_atom_site_fract_z
Ge1 Ge 0.653 0.500 0.805
Ge2 Ge 0.153 0.305 0.000
Ge3 Ge 0.500 0.805 0.347
Ge4 Ge 0.195 0.653 0.500
Ge5 Ge 0.000 0.847 0.305
Ge6 Ge 0.000 0.000 0.000
Ge7 Ge 0.347 0.500 0.195
Ge8 Ge 0.847 0.695 0.000
Ge9 Ge 0.195 0.347 0.500
Ge10 Ge 0.695 0.000 0.847
Ge11 Ge 0.500 0.195 0.347
Ge12 Ge 0.305 0.000 0.153
Ge13 Ge 0.305 0.000 0.847
Ge14 Ge 0.000 0.153 0.305
Ge15 Ge 0.847 0.305 0.000
Ge16 Ge 0.153 0.695 0.000
Ge17 Ge 0.500 0.500 0.500
Ge18 Ge 0.805 0.347 0.500
Ge19 Ge 0.000 0.847 0.695
Ge20 Ge 0.000 0.153 0.695
Ge21 Ge 0.347 0.500 0.805
Ge22 Ge 0.653 0.500 0.195
Ge23 Ge 0.500 0.805 0.653
Ge24 Ge 0.500 0.195 0.653
Ge25 Ge 0.805 0.653 0.500
Ge26 Ge 0.695 0.000 0.153
Co1 Co 0.750 0.250 0.250
Co2 Co 0.750 0.250 0.750
Co3 Co 0.250 0.750 0.750
Co4 Co 0.750 0.750 0.750
Co5 Co 0.250 0.250 0.750
Co6 Co 0.250 0.750 0.250
Co7 Co 0.250 0.250 0.250
Co8 Co 0.750 0.750 0.250
Tm1 Tm 0.750 0.000 0.500
Tm2 Tm 0.250 0.000 0.500
Tm3 Tm 0.000 0.500 0.250
Tm4 Tm 0.500 0.750 0.000
Tm5 Tm 0.000 0.500 0.750
Tm6 Tm 0.500 0.250 0.000
# ΔE_f = -412 meV/atom

---

What is the formula in the sixth record?
Li2FeRu